(1)
# LaAl2Pt

A crystal of LaAl2Pt relaxed with PBEsol (SCAN, Alexandria via LeMat-Bulk).

Calculated values
M_tot = 0.39 μB/cell
Uncorrected energy = -262.66 eV/cell
Calculated formation energy = -632 meV/atom
DOS at the Fermi energy = 4.17 states/eV/cell

Cell lengths 2.946, 5.350, 10.268 Å; angles 90.00, 90.00, 90.00 degrees
Space group Immm (No. 71)
Inequivalent atoms, fractional coordinates:
La1 0.000 0.000 0.000 (multiplicity 2)
Al1 0.000 0.500 0.212 (multiplicity 4)
Pt1 0.000 0.000 0.500 (multiplicity 2)

(2)
# YTl2

A crystal of YTl2 relaxed with PBEsol (SCAN, Alexandria via LeMat-Bulk).

Calculated values
M_tot = 0.00 μB/cell
Uncorrected energy = -347.36 eV/cell
Calculated formation energy = -373 meV/atom
DOS at the Fermi energy = 2.90 states/eV/cell

Cell lengths 5.3049, 5.3049, 6.3921 Å; angles 90.00, 90.00, 120.00 degrees
Space group P6_3/mmc (No. 194)
Inequivalent atoms, fractional coordinates:
Y1 0.3333 0.6667 0.2500 (multiplicity 2)
Tl1 0.0000 0.0000 0.0000 (multiplicity 2)
Tl2 0.3333 0.6667 0.7500 (multiplicity 2)

(3)
# ZrCu2Ir

A crystal of ZrCu2Ir relaxed with PBEsol (SCAN, Alexandria via LeMat-Bulk).

Calculated values
M_tot = 0.00 μB/cell
Uncorrected energy = -268.25 eV/cell
Calculated formation energy = -482 meV/atom
Energy relative to the lowest polymorph listed for this composition = 0 kJ/mol of formula units
DOS at the Fermi energy = 3.20 states/eV/cell

Cell lengths 3.792, 3.792, 7.954 Å; angles 90.00, 90.00, 90.00 degrees
Space group I4/mmm (No. 139)
Inequivalent atoms, fractional coordinates:
Zr1 0.000 0.000 0.000 (multiplicity 2)
Cu1 0.000 0.500 0.250 (multiplicity 4)
Ir1 0.000 0.000 0.500 (multiplicity 2)

What did the first record say?
# LaAl2Pt

A crystal of LaAl2Pt relaxed with PBEsol (SCAN, Alexandria via LeMat-Bulk).

Calculated values
M_tot = 0.39 μB/cell
Uncorrected energy = -262.66 eV/cell
Calculated formation energy = -632 meV/atom
DOS at the Fermi energy = 4.17 states/eV/cell

Cell lengths 2.946, 5.350, 10.268 Å; angles 90.00, 90.00, 90.00 degrees
Space group Immm (No. 71)
Inequivalent atoms, fractional coordinates:
La1 0.000 0.000 0.000 (multiplicity 2)
Al1 0.000 0.500 0.212 (multiplicity 4)
Pt1 0.000 0.000 0.500 (multiplicity 2)

> Look up the uncorrected energy of the third one.

-268.25 eV/cell